LiCrMoF6: relaxed, GGA+U.

Cell lengths 5.3564, 5.3564, 9.0585 Å; angles 90.00, 90.00, 120.00 degrees
Space group P-31c (No. 163)
Unique sites:
Li1 0.0000 0.0000 0.0000 [2 per cell]
Cr1 0.3333 0.6667 0.2500 [2 per cell]
Mo1 0.3333 0.6667 0.7500 [2 per cell]
F1 0.0094 0.3393 0.1290 [12 per cell]

Values from the calculation:
Fermi-level density of states = 0.675 states/eV/atom
volume = 12.504 Å³ per atom
total magnetization = 0.556 μB/atom
crystal system = trigonal
calculated total energy = -98.1 eV for the cell shown